DFT (GGA-PBE) results for BaSc2Sb after structural relaxation.

## Properties
E_form (uncorrected) in eV per atom: -0.0327
D(E_F) in states/eV per cell: 5.753
Mass density in g/cm3: 4.955

Structure (POSCAR):
```
BaSc2Sb
1.0
-3.013 -3.061 -3.418
0.134 -5.475 0.377
-4.372 -2.729 1.890
Ba Sb Sc
1 1 2
Direct
0.500 0.500 0.500
0.750 0.750 0.750
0.000 0.000 0.000
0.250 0.250 0.250
```